# DyTcTe

Crystalline DyTcTe at its relaxed geometry (PBE, Alexandria via LeMat-Bulk).

Formation energy (no corrections) in eV/atom: -0.424

a b c (Å): 3.8403 5.8978 12.0243
angles (deg): 139.11 90.00 109.00
Atoms (fractional coordinates):
Dy 0.0058 0.0115 0.6531
Dy 0.9942 0.9885 0.3469
Tc 0.1871 0.3742 0.9991
Tc 0.8129 0.6258 0.0009
Te 0.2270 0.4539 0.2957
Te 0.7730 0.5461 0.7043

***

# Dy6TcTe2

Crystalline Dy6TcTe2 at its relaxed geometry (PBE, Alexandria via LeMat-Bulk).

Formation energy (no corrections) in eV/atom: -0.662

a b c (Å): 4.0782 8.3170 8.3166
angles (deg): 120.00 90.00 90.00
Atoms (fractional coordinates):
Dy 0.5000 0.6068 0.0000
Dy 0.5000 0.3931 0.3931
Dy 0.5000 0.0000 0.6069
Dy 0.0000 0.2383 0.0000
Dy 0.0000 0.7617 0.7618
Dy 0.0000 0.0000 0.2382
Tc 0.5000 0.0001 0.0000
Te 0.0000 0.3333 0.6666
Te 0.0000 0.6667 0.3334

***

# Dy7Tc2Te2

Crystalline Dy7Tc2Te2 at its relaxed geometry (PBE, Alexandria via LeMat-Bulk).

Formation energy (no corrections) in eV/atom: -0.543

a b c (Å): 4.0008 9.4110 9.4110
angles (deg): 59.38 77.73 77.73
Last column: magnetic moment on the atom in μB.
Atoms (fractional coordinates):
Dy 0.8168 0.0804 0.2859  0.01
Dy 0.8478 0.4188 0.8856  0.03
Dy 0.5000 0.0235 0.9765  0.15
Dy 0.6331 0.4716 0.2622  0.01
Dy 0.3669 0.7378 0.5284  0.01
Dy 0.1832 0.7141 0.9196  0.01
Dy 0.1522 0.1144 0.5812  0.03
Tc 0.7380 0.8507 0.6733  0.01
Tc 0.2620 0.3267 0.1493  0.01
Te 0.0000 0.7599 0.2401  0.00
Te 0.5000 0.3560 0.6440  0.00

***

# Dy3TcTe

Crystalline Dy3TcTe at its relaxed geometry (PBE, Alexandria via LeMat-Bulk).

Formation energy (no corrections) in eV/atom: -0.540
Energy relative to the lowest polymorph listed for this composition in meV/atom: 0.0

a b c (Å): 4.3175 6.3753 10.5908
angles (deg): 81.75 78.24 70.21
Atoms (fractional coordinates):
Dy 0.8260 0.9688 0.3791
Dy 0.1740 0.0312 0.6209
Dy 0.5357 0.7926 0.1360
Dy 0.4643 0.2074 0.8640
Dy 0.8723 0.5884 0.6670
Dy 0.1277 0.4116 0.3330
Tc 0.4564 0.6680 0.4192
Tc 0.5436 0.3320 0.5808
Te 0.1723 0.7588 0.8967
Te 0.8277 0.2412 0.1033